Material: Li2V2P2O11
Method: DFT, GGA+U
State: relaxed

Computed properties:
- calculated volume (Å³/f.u.) = 230.9
- total magnetization (μB per formula unit) = 0.00
- DOS(E_F) (states/eV per atom) = 0.00
- DFT total energy (eV/atom) = -7.02

The structure in extended XYZ format:
```
34
Lattice="7.951 0.000 0.000 0.000 10.718 0.000 0.000 0.000 5.419" Properties=species:S:1:pos:R:3 pbc="T T T"
Li 0.888 1.312 0.245
Li 3.088 6.671 5.174
Li 4.863 4.047 5.174
Li 7.063 9.406 0.245
V 1.583 10.207 2.574
V 2.392 4.848 2.845
V 5.559 5.869 2.845
V 6.368 0.511 2.574
P 0.431 7.365 3.670
P 3.544 2.007 1.749
P 4.407 8.711 1.749
P 7.520 3.352 3.670
O 0.000 0.000 1.663
O 0.015 2.797 4.982
O 0.669 4.137 2.888
O 0.892 8.470 2.653
O 1.442 0.064 4.084
O 1.653 6.392 3.850
O 2.323 1.033 1.569
O 2.533 5.423 1.335
O 3.083 3.112 2.766
O 3.307 9.496 2.531
O 3.961 8.156 0.437
O 3.976 5.359 3.756
O 3.991 2.562 0.437
O 4.644 1.222 2.531
O 4.868 7.606 2.766
O 5.418 5.294 1.335
O 5.629 9.685 1.569
O 6.298 4.326 3.850
O 6.509 10.653 4.084
O 7.059 2.247 2.653
O 7.282 6.580 2.888
O 7.936 7.921 4.982
```